1.
The following is a DFT calculation (meta-GGA SCAN) of a PBEsol-optimized structure of KC2N3.

Cell lengths 4.320, 5.875, 16.043 Å; angles 90.00, 90.00, 99.43 degrees
Atoms (fractional coordinates):
C: 0.625 0.039 0.280
N: 0.669 0.895 0.721
C: 0.991 0.829 0.099
C: 0.375 0.961 0.720
C: 0.875 0.961 0.780
K: 0.849 0.733 0.572
N: 0.332 0.740 0.457
N: 0.805 0.085 0.847
N: 0.331 0.105 0.279
C: 0.009 0.171 0.901
C: 0.125 0.039 0.220
N: 0.831 0.105 0.221
N: 0.695 0.915 0.347
C: 0.491 0.829 0.401
C: 0.509 0.171 0.599
K: 0.651 0.267 0.072
N: 0.169 0.895 0.779
K: 0.151 0.267 0.428
K: 0.349 0.733 0.928
N: 0.668 0.260 0.543
N: 0.168 0.260 0.957
N: 0.195 0.915 0.153
N: 0.832 0.740 0.043
N: 0.305 0.085 0.653

Summary:
* formation energy from raw total energies: -0.19 eV/atom
* size of the total moment: 0.0 μB per formula unit
* V: 401.63 Å³ per cell

***

2.
The following is a DFT calculation (meta-GGA SCAN) of a PBEsol-optimized structure of ErCuSb2.

Cell lengths 4.246, 4.246, 9.530 Å; angles 90.00, 90.00, 90.00 degrees
Atoms (fractional coordinates):
Sb: 0.000 0.000 0.000
Er: 0.000 0.500 0.749
Cu: 0.000 0.000 0.500
Sb: 0.500 0.500 0.000
Sb: 0.500 0.000 0.664
Er: 0.500 0.000 0.251
Sb: 0.000 0.500 0.336
Cu: 0.500 0.500 0.500

Summary:
* formation energy from raw total energies: -0.64 eV/atom
* size of the total moment: 0.0 μB per formula unit
* V: 171.78 Å³ per cell

***

3.
The following is a DFT calculation (meta-GGA SCAN) of a PBEsol-optimized structure of AlBi2Te2BrCl4.

Cell lengths 8.479, 11.443, 13.335 Å; angles 99.56, 90.00, 111.75 degrees
Atoms (fractional coordinates):
Cl: 0.296 0.334 0.766
Te: 0.202 0.156 0.465
Cl: 0.963 0.666 0.734
Bi: 0.935 0.125 0.615
Bi: 0.311 0.865 0.885
Bi: 0.554 0.865 0.385
Cl: 0.787 0.335 0.781
Al: 0.606 0.464 0.174
Cl: 0.951 0.585 0.411
Al: 0.142 0.536 0.326
Te: 0.301 0.855 0.541
Bi: 0.446 0.135 0.615
Te: 0.045 0.844 0.035
Cl: 0.548 0.335 0.281
Cl: 0.213 0.665 0.219
Te: 0.446 0.145 0.959
Te: 0.955 0.156 0.965
Br: 0.375 0.000 0.250
Cl: 0.629 0.425 0.582
Cl: 0.371 0.575 0.418
Al: 0.858 0.464 0.674
Cl: 0.037 0.334 0.266
Bi: 0.689 0.135 0.115
Bi: 0.190 0.125 0.115
Al: 0.394 0.536 0.826
Cl: 0.796 0.425 0.082
Br: 0.625 0.000 0.750
Te: 0.699 0.145 0.459
Bi: 0.810 0.875 0.885
Cl: 0.366 0.415 0.089
Te: 0.554 0.855 0.041
Br: 0.125 0.000 0.750
Cl: 0.634 0.585 0.911
Bi: 0.065 0.875 0.385
Br: 0.875 0.000 0.250
Cl: 0.204 0.575 0.918
Cl: 0.452 0.665 0.719
Cl: 0.049 0.415 0.589
Cl: 0.704 0.666 0.234
Te: 0.798 0.844 0.535

Summary:
* formation energy from raw total energies: -0.98 eV/atom
* size of the total moment: 0.0 μB per formula unit
* V: 1182.38 Å³ per cell

***

4.
The following is a DFT calculation (meta-GGA SCAN) of a PBEsol-optimized structure of LiBe2Ni.

Cell lengths 3.720, 3.720, 3.720 Å; angles 60.00, 60.00, 60.00 degrees
Atoms (fractional coordinates):
Ni: 0.750 0.750 0.750
Li: 0.500 0.500 0.500
Be: 0.000 0.000 0.000
Be: 0.250 0.250 0.250

Summary:
* DFT formation energy: -0.04 eV per atom
* size of the total moment: 0.0 μB per formula unit
* V: 36.41 Å³ per cell

***

5.
The following is a DFT calculation (meta-GGA SCAN) of a PBEsol-optimized structure of CdAg2Cl.

Cell lengths 4.791, 4.791, 4.791 Å; angles 60.00, 60.00, 60.00 degrees
Atoms (fractional coordinates):
Cd: 0.000 0.000 0.000
Cl: 0.500 0.500 0.500
Ag: 0.250 0.250 0.250
Ag: 0.750 0.750 0.750

Summary:
* ΔE to the lowest computed polymorph: 0.3172 eV per atom
* formation energy from raw total energies: 0.10 eV/atom
* size of the total moment: 0.0 μB per formula unit
* V: 77.74 Å³ per cell

***

6.
The following is a DFT calculation (meta-GGA SCAN) of a PBEsol-optimized structure of Sc3ZnBi.

Cell lengths 5.353, 5.353, 5.353 Å; angles 90.00, 90.00, 90.00 degrees
Atoms (fractional coordinates):
Sc: 0.000 0.500 0.000
Zn: 0.500 0.500 0.500
Sc: 0.000 0.000 0.500
Sc: 0.500 0.000 0.000
Bi: 0.000 0.000 0.000

Summary:
* DFT formation energy: 0.47 eV per atom
* size of the total moment: 0.0 μB per formula unit
* V: 153.35 Å³ per cell